1.
Below is a geometry-optimized Tb2SmDy6Tm structure, with properties calculated at the PBE level.

CIF file:
```
data_Tb2SmDy6Tm
_cell_length_a 8.759
_cell_length_b 8.759
_cell_length_c 9.541
_cell_angle_alpha 93.90
_cell_angle_beta 93.90
_cell_angle_gamma 117.89
_symmetry_space_group_name_H-M 'P 1'
_symmetry_Int_Tables_number 1
loop_
_symmetry_equiv_pos_as_xyz
'x,y,z'
loop_
_atom_site_label
_atom_site_fract_x
_atom_site_fract_y
_atom_site_fract_z
Tb1 0.197 0.301 0.455
Tb2 0.301 0.197 0.955
Tb3 0.699 0.803 0.045
Tb4 0.803 0.699 0.545
Sm1 0.477 0.523 0.750
Sm2 0.523 0.477 0.250
Dy1 0.007 0.792 0.881
Dy2 0.068 0.517 0.685
Dy3 0.208 0.993 0.619
Dy4 0.250 0.624 0.056
Dy5 0.376 0.750 0.444
Dy6 0.483 0.932 0.815
Dy7 0.517 0.068 0.185
Dy8 0.624 0.250 0.556
Dy9 0.750 0.376 0.944
Dy10 0.792 0.007 0.381
Dy11 0.932 0.483 0.315
Dy12 0.993 0.208 0.119
Tm1 0.091 0.909 0.250
Tm2 0.909 0.091 0.750
```

Summary:
As for the density of states at the Fermi level: 1.3663 states/eV/atom. Its formation energy is 118 meV/atom. Its space group is No. 15.

***

2.
Below is a geometry-optimized TiInBiIr2 structure, with properties calculated at the PBE level.

CIF file:
```
data_TiInBiIr2
_cell_length_a 4.909
_cell_length_b 4.909
_cell_length_c 4.996
_cell_angle_alpha 90.00
_cell_angle_beta 90.00
_cell_angle_gamma 90.00
_symmetry_space_group_name_H-M 'P 1'
_symmetry_Int_Tables_number 1
loop_
_symmetry_equiv_pos_as_xyz
'x,y,z'
loop_
_atom_site_label
_atom_site_fract_x
_atom_site_fract_y
_atom_site_fract_z
Ti1 0.000 0.000 0.000
In1 0.000 0.000 0.500
Bi1 0.500 0.500 0.000
Ir1 0.000 0.500 0.500
Ir2 0.500 0.000 0.500
```

Summary:
As for the density of states at the Fermi level: 1.7519 states/eV/atom. Its formation energy is 1331 meV/atom. Its space group is No. 123.

***

3.
Below is a geometry-optimized Pa3Co3P2 structure, with properties calculated at the PBE level.

CIF file:
```
data_Pa3Co3P2
_cell_length_a 5.537
_cell_length_b 5.537
_cell_length_c 13.372
_cell_angle_alpha 90.00
_cell_angle_beta 90.00
_cell_angle_gamma 138.13
_symmetry_space_group_name_H-M 'P 1'
_symmetry_Int_Tables_number 1
loop_
_symmetry_equiv_pos_as_xyz
'x,y,z'
loop_
_atom_site_label
_atom_site_fract_x
_atom_site_fract_y
_atom_site_fract_z
Pa1 0.091 0.909 0.750
Pa2 0.384 0.616 0.599
Pa3 0.384 0.616 0.901
Pa4 0.616 0.384 0.099
Pa5 0.616 0.384 0.401
Pa6 0.909 0.091 0.250
Co1 0.097 0.903 0.556
Co2 0.097 0.903 0.944
Co3 0.184 0.816 0.250
Co4 0.816 0.184 0.750
Co5 0.903 0.097 0.056
Co6 0.903 0.097 0.444
P1 0.325 0.675 0.111
P2 0.325 0.675 0.389
P3 0.675 0.325 0.611
P4 0.675 0.325 0.889
```

Summary:
As for the density of states at the Fermi level: 0.7093 states/eV/atom. Its formation energy is -822 meV/atom. Its space group is No. 63.

***

4.
Below is a geometry-optimized HfScMo3 structure, with properties calculated at the PBE level.

CIF file:
```
data_HfScMo3
_cell_length_a 4.808
_cell_length_b 4.808
_cell_length_c 4.808
_cell_angle_alpha 90.00
_cell_angle_beta 90.00
_cell_angle_gamma 90.00
_symmetry_space_group_name_H-M 'P 1'
_symmetry_Int_Tables_number 1
loop_
_symmetry_equiv_pos_as_xyz
'x,y,z'
loop_
_atom_site_label
_atom_site_fract_x
_atom_site_fract_y
_atom_site_fract_z
Hf1 0.000 0.000 0.000
Sc1 0.500 0.500 0.500
Mo1 0.000 0.000 0.500
Mo2 0.000 0.500 0.000
Mo3 0.500 0.000 0.000
```

Summary:
As for the density of states at the Fermi level: 1.5694 states/eV/atom. Its formation energy is 1568 meV/atom. Its space group is No. 221.

***

5.
Below is a geometry-optimized Tb6PrEr12 structure, with properties calculated at the PBE level.

CIF file:
```
data_Tb6PrEr12
_cell_length_a 8.486
_cell_length_b 8.486
_cell_length_c 8.486
_cell_angle_alpha 88.49
_cell_angle_beta 88.49
_cell_angle_gamma 88.49
_symmetry_space_group_name_H-M 'P 1'
_symmetry_Int_Tables_number 1
loop_
_symmetry_equiv_pos_as_xyz
'x,y,z'
loop_
_atom_site_label
_atom_site_fract_x
_atom_site_fract_y
_atom_site_fract_z
Tb1 0.183 0.756 0.590
Tb2 0.244 0.410 0.817
Tb3 0.410 0.817 0.244
Tb4 0.590 0.183 0.756
Tb5 0.756 0.590 0.183
Tb6 0.817 0.244 0.410
Pr1 0.500 0.500 0.500
Er1 0.045 0.937 0.271
Er2 0.063 0.729 0.955
Er3 0.147 0.492 0.285
Er4 0.271 0.045 0.937
Er5 0.285 0.147 0.492
Er6 0.492 0.285 0.147
Er7 0.508 0.715 0.853
Er8 0.715 0.853 0.508
Er9 0.729 0.955 0.063
Er10 0.853 0.508 0.715
Er11 0.937 0.271 0.045
Er12 0.955 0.063 0.729
```

Summary:
As for the density of states at the Fermi level: 1.5666 states/eV/atom. Its formation energy is 160 meV/atom. Its space group is No. 148.

***

6.
Below is a geometry-optimized LiCaNd2Hg4 structure, with properties calculated at the PBE level.

CIF file:
```
data_LiCaNd2Hg4
_cell_length_a 9.138
_cell_length_b 9.138
_cell_length_c 9.138
_cell_angle_alpha 33.58
_cell_angle_beta 33.58
_cell_angle_gamma 33.58
_symmetry_space_group_name_H-M 'P 1'
_symmetry_Int_Tables_number 1
loop_
_symmetry_equiv_pos_as_xyz
'x,y,z'
loop_
_atom_site_label
_atom_site_fract_x
_atom_site_fract_y
_atom_site_fract_z
Li1 0.000 0.000 0.000
Ca1 0.500 0.500 0.500
Nd1 0.253 0.253 0.253
Nd2 0.747 0.747 0.747
Hg1 0.122 0.122 0.122
Hg2 0.374 0.374 0.374
Hg3 0.626 0.626 0.626
Hg4 0.878 0.878 0.878
```

Summary:
As for the density of states at the Fermi level: 0.6793 states/eV/atom. Its formation energy is -484 meV/atom. Its space group is No. 166.

***

7.
Below is a geometry-optimized BaBiCl2 structure, with properties calculated at the PBE level.

CIF file:
```
data_BaBiCl2
_cell_length_a 8.563
_cell_length_b 8.563
_cell_length_c 7.544
_cell_angle_alpha 90.00
_cell_angle_beta 90.00
_cell_angle_gamma 90.00
_symmetry_space_group_name_H-M 'P 1'
_symmetry_Int_Tables_number 1
loop_
_symmetry_equiv_pos_as_xyz
'x,y,z'
loop_
_atom_site_label
_atom_site_fract_x
_atom_site_fract_y
_atom_site_fract_z
Ba1 0.000 0.000 0.000
Ba2 0.000 0.500 0.250
Ba3 0.500 0.000 0.750
Ba4 0.500 0.500 0.500
Bi1 0.000 0.000 0.500
Bi2 0.000 0.500 0.750
Bi3 0.500 0.000 0.250
Bi4 0.500 0.500 0.000
Cl1 0.239 0.750 0.125
Cl2 0.250 0.239 0.875
Cl3 0.250 0.261 0.375
Cl4 0.261 0.750 0.625
Cl5 0.739 0.250 0.625
Cl6 0.750 0.739 0.375
Cl7 0.750 0.761 0.875
Cl8 0.761 0.250 0.125
```

Summary:
As for the density of states at the Fermi level: 1.0806 states/eV/atom. Its space group is No. 122. Its formation energy (no corrections) is -1.120 eV per atom.

***

8.
Below is a geometry-optimized KSb2P structure, with properties calculated at the PBE level.

CIF file:
```
data_KSb2P
_cell_length_a 3.793
_cell_length_b 5.524
_cell_length_c 12.228
_cell_angle_alpha 90.00
_cell_angle_beta 90.00
_cell_angle_gamma 90.00
_symmetry_space_group_name_H-M 'P 1'
_symmetry_Int_Tables_number 1
loop_
_symmetry_equiv_pos_as_xyz
'x,y,z'
loop_
_atom_site_label
_atom_site_fract_x
_atom_site_fract_y
_atom_site_fract_z
K1 0.000 0.000 0.000
K2 0.500 0.500 0.500
Sb1 0.000 0.000 0.355
Sb2 0.000 0.500 0.238
Sb3 0.500 0.000 0.738
Sb4 0.500 0.500 0.855
P1 0.000 0.500 0.716
P2 0.500 0.000 0.216
```

Summary:
As for the density of states at the Fermi level: 0.3015 states/eV/atom. Its space group is No. 44. Its formation energy (no corrections) is 0.022 eV per atom.

***

Short version: theoretical density = 8.349, 10.428, 11.310, 7.638, 8.437, 9.090, 5.009, 4.064 g/cm3, in the order given.
Short version: spin magnetization = 0.0, 0.0, 0.0, 0.9, 0.0, 0.0, 0.0, 0.0 μB per formula unit, in the order given.